(P)
Computed, not measured: an optimized crystal structure of PmNdAgRu at the GGA-PBE level of DFT.

```
data_PmNdAgRu
_chemical_formula_sum 'Pm1 Nd1 Ag1 Ru1'
_space_group_name_H-M_alt 'P 4 m m'
_space_group_IT_number 99
_space_group_name_Hall 'P 4 -2'
_cell_length_a 3.517
_cell_length_b 3.517
_cell_length_c 7.739
_cell_angle_alpha 90.00
_cell_angle_beta 90.00
_cell_angle_gamma 90.00
loop_
_atom_site_label
_atom_site_type_symbol
_atom_site_fract_x
_atom_site_fract_y
_atom_site_fract_z
_atom_site_occupancy
Pm1 Pm 0.000 0.000 0.000 1
Nd1 Nd 0.000 0.000 0.447 1
Ag1 Ag 0.500 0.500 0.727 1
Ru1 Ru 0.500 0.500 0.221 1
```

Output
For the calculated density, the calculation gives 8.6 g/cm3.



(Q)
Computed, not measured: an optimized crystal structure of PmNdAgRu at the GGA-PBE level of DFT.

```
data_PmNdAgRu
_chemical_formula_sum 'Pm4 Nd4 Ag4 Ru4'
_space_group_name_H-M_alt 'F -4 3 m'
_space_group_IT_number 216
_space_group_name_Hall 'F -4 2 3'
_cell_length_a 7.218
_cell_length_b 7.218
_cell_length_c 7.218
_cell_angle_alpha 90.00
_cell_angle_beta 90.00
_cell_angle_gamma 90.00
loop_
_atom_site_label
_atom_site_type_symbol
_atom_site_fract_x
_atom_site_fract_y
_atom_site_fract_z
_atom_site_occupancy
Pm1 Pm 0.000 0.000 0.000 1
Nd1 Nd 0.000 0.000 0.500 1
Ag1 Ag 0.250 0.250 0.750 1
Ru1 Ru 0.250 0.250 0.250 1
```

Output
For the calculated density, the calculation gives 8.8 g/cm3.



What should be chosen as the most stable of them? Choose (P).